[1]
Crystalline Sc2SiNiGe at its relaxed geometry. Source: OQMD via LeMat-Bulk, functional PBE.

## Properties
As for the space group: C2/m, No. 12. The value obtained for the total moment is 0.8 μB per cell.

```
Sc2SiNiGe
1.0
4.9315 -2.0000 0.0000
4.9315 2.0000 0.0000
-4.5681 0.0000 8.4228
Sc Si Ni Ge
4 2 2 2
Direct
0.0007 0.0007 0.1704
0.1838 0.1838 0.6076
0.8162 0.8162 0.3924
0.9993 0.9993 0.8296
0.3603 0.3603 0.9328
0.6397 0.6397 0.0672
0.2717 0.2717 0.1289
0.7283 0.7283 0.8711
0.4784 0.4784 0.6253
0.5216 0.5216 0.3747
```

=====

[2]
Crystalline KHoBeS3 at its relaxed geometry. Source: OQMD via LeMat-Bulk, functional PBE.

## Properties
As for the space group: Cmcm, No. 63. The value obtained for the total moment is 0.0 μB per cell.

```
KHoBeS3
1.0
1.9214 -7.1149 0.0000
1.9214 7.1149 0.0000
0.0000 0.0000 10.4038
K Ho Be S
2 2 2 6
Direct
0.2436 0.7564 0.7500
0.7564 0.2436 0.2500
0.5000 0.5000 0.0000
0.5000 0.5000 0.5000
0.0377 0.9623 0.2500
0.9623 0.0377 0.7500
0.1182 0.8818 0.0824
0.1182 0.8818 0.4176
0.4457 0.5543 0.2500
0.5543 0.4457 0.7500
0.8818 0.1182 0.5824
0.8818 0.1182 0.9176
```

=====

[3]
Crystalline LaBeOs at its relaxed geometry. Source: OQMD via LeMat-Bulk, functional PBE.

## Properties
As for the space group: F-43m, No. 216. The value obtained for the total moment is 0.5 μB per cell. For the relative energy among the computed polymorphs, the calculation gives 0 meV/atom.

```
LaBeOs
1.0
6.3148 0.0000 0.0000
0.0000 6.3148 0.0000
0.0000 0.0000 6.3148
La Be Os
4 4 4
Direct
0.0000 0.0000 0.0000
0.0000 0.5000 0.5000
0.5000 0.0000 0.5000
0.5000 0.5000 0.0000
0.0000 0.0000 0.5000
0.0000 0.5000 0.0000
0.5000 0.0000 0.0000
0.5000 0.5000 0.5000
0.2500 0.2500 0.7500
0.2500 0.7500 0.2500
0.7500 0.2500 0.2500
0.7500 0.7500 0.7500
```

=====

[4]
Crystalline Rb2Na2CdP2 at its relaxed geometry. Source: OQMD via LeMat-Bulk, functional PBE.

## Properties
As for the space group: R-3m, No. 166. For the relative energy among the computed polymorphs, the calculation gives 0 meV/atom.

```
Rb2Na2CdP2
1.0
2.6625 1.5372 9.6382
-2.6625 1.5372 9.6382
0.0000 -3.0744 9.6382
Rb Na Cd P
2 2 1 2
Direct
0.2064 0.2064 0.2064
0.7936 0.7936 0.7936
0.3919 0.3919 0.3919
0.6081 0.6081 0.6081
0.0000 0.0000 0.0000
0.0833 0.0833 0.0833
0.9167 0.9167 0.9167
```

=====

[5]
Crystalline RbAg2PSe2O2 at its relaxed geometry. Source: OQMD via LeMat-Bulk, functional PBE.

## Properties
As for the space group: Fmm2, No. 42. For the relative energy among the computed polymorphs, the calculation gives 0 meV/atom.

```
RbAg2PSe2O2
1.0
0.0000 5.1071 3.9021
4.5196 0.0000 3.9021
4.5196 5.1071 0.0000
Rb Ag P Se O
1 2 1 2 2
Direct
0.0000 0.0000 0.0000
0.2439 0.2439 0.2561
0.7439 0.7439 0.7561
0.4582 0.4582 0.5418
0.4444 0.8097 0.1903
0.8097 0.4444 0.5556
0.2145 0.5054 0.7855
0.5054 0.2145 0.4946
```

=====

[6]
Crystalline InRe2Hg at its relaxed geometry. Source: OQMD via LeMat-Bulk, functional PBE.

## Properties
As for the space group: F-43m, No. 216. The value obtained for the total moment is 0.0 μB per cell.

```
InRe2Hg
1.0
6.5603 0.0000 0.0000
0.0000 6.5603 0.0000
0.0000 0.0000 6.5603
In Re Hg
4 8 4
Direct
0.0000 0.0000 0.0000
0.0000 0.5000 0.5000
0.5000 0.0000 0.5000
0.5000 0.5000 0.0000
0.0000 0.0000 0.5000
0.0000 0.5000 0.0000
0.2500 0.2500 0.7500
0.2500 0.7500 0.2500
0.5000 0.0000 0.0000
0.5000 0.5000 0.5000
0.7500 0.2500 0.2500
0.7500 0.7500 0.7500
0.2500 0.2500 0.2500
0.2500 0.7500 0.7500
0.7500 0.2500 0.7500
0.7500 0.7500 0.2500
```

=====

[7]
Crystalline NbAgS2 at its relaxed geometry. Source: OQMD via LeMat-Bulk, functional PBE.

## Properties
As for the space group: R3m, No. 160. The value obtained for the total moment is 0.0 μB per cell.

```
NbAgS2
1.0
3.3334 0.0000 0.0000
-1.6667 2.8868 0.0000
0.0000 0.0000 23.0190
Nb Ag S
3 3 6
Direct
0.0000 0.0000 0.0000
0.3333 0.6667 0.6667
0.6667 0.3333 0.3333
0.0000 0.0000 0.1571
0.3333 0.6667 0.8237
0.6667 0.3333 0.4904
0.0000 0.0000 0.2645
0.0000 0.0000 0.7377
0.3333 0.6667 0.4044
0.3333 0.6667 0.9312
0.6667 0.3333 0.0711
0.6667 0.3333 0.5978
```

=====

[8]
Crystalline LiTaAsO at its relaxed geometry. Source: OQMD via LeMat-Bulk, functional PBE.

## Properties
As for the space group: P4/nmm, No. 129. The value obtained for the total moment is 0.9 μB per cell. For the relative energy among the computed polymorphs, the calculation gives 1003 meV/atom.

```
LiTaAsO
1.0
4.0531 0.0000 0.0000
0.0000 4.0531 0.0000
0.0000 0.0000 7.2978
Li Ta As O
2 2 2 2
Direct
0.2500 0.2500 0.0792
0.7500 0.7500 0.9208
0.2500 0.7500 0.5000
0.7500 0.2500 0.5000
0.2500 0.2500 0.7214
0.7500 0.7500 0.2786
0.2500 0.7500 0.0000
0.7500 0.2500 0.0000
```

=====

[9]
Crystalline ZnGaCoW at its relaxed geometry. Source: OQMD via LeMat-Bulk, functional PBE.

## Properties
As for the space group: F-43m, No. 216. The value obtained for the total moment is 2.4 μB per cell. For the relative energy among the computed polymorphs, the calculation gives 0 meV/atom.

```
ZnGaCoW
1.0
6.0342 0.0000 0.0000
0.0000 6.0342 0.0000
0.0000 0.0000 6.0342
Zn Ga Co W
4 4 4 4
Direct
0.0000 0.0000 0.0000
0.0000 0.5000 0.5000
0.5000 0.0000 0.5000
0.5000 0.5000 0.0000
0.2500 0.2500 0.2500
0.2500 0.7500 0.7500
0.7500 0.2500 0.7500
0.7500 0.7500 0.2500
0.0000 0.0000 0.5000
0.0000 0.5000 0.0000
0.5000 0.0000 0.0000
0.5000 0.5000 0.5000
0.2500 0.2500 0.7500
0.2500 0.7500 0.2500
0.7500 0.2500 0.2500
0.7500 0.7500 0.7500
```

=====

[10]
Crystalline PrIn2CuAu at its relaxed geometry. Source: OQMD via LeMat-Bulk, functional PBE.

## Properties
As for the space group: P4/nmm, No. 129. The value obtained for the total moment is 0.0 μB per cell.

```
PrIn2CuAu
1.0
4.5830 0.0000 0.0000
0.0000 4.5830 0.0000
0.0000 0.0000 10.8008
Pr In Cu Au
2 4 2 2
Direct
0.2500 0.2500 0.2476
0.7500 0.7500 0.7524
0.2500 0.2500 0.8543
0.2500 0.7500 0.5000
0.7500 0.2500 0.5000
0.7500 0.7500 0.1457
0.2500 0.2500 0.6228
0.7500 0.7500 0.3772
0.2500 0.7500 0.0000
0.7500 0.2500 0.0000
```

=====

[11]
Crystalline RbSiAuSe3 at its relaxed geometry. Source: OQMD via LeMat-Bulk, functional PBE.

## Properties
As for the space group: Cmcm, No. 63.

```
RbSiAuSe3
1.0
1.8275 -8.5351 0.0000
1.8275 8.5351 0.0000
0.0000 0.0000 10.3021
Rb Si Au Se
2 2 2 6
Direct
0.2209 0.7791 0.7500
0.7791 0.2209 0.2500
0.5000 0.5000 0.0000
0.5000 0.5000 0.5000
0.1092 0.8908 0.2500
0.8908 0.1092 0.7500
0.1038 0.8962 0.0142
0.1038 0.8962 0.4858
0.4601 0.5399 0.2500
0.5399 0.4601 0.7500
0.8962 0.1038 0.5142
0.8962 0.1038 0.9858
```

=====

[12]
Crystalline TbGd2 at its relaxed geometry. Source: OQMD via LeMat-Bulk, functional PBE.

## Properties
As for the space group: Fd-3m, No. 227. The value obtained for the total moment is 0.1 μB per cell. For the relative energy among the computed polymorphs, the calculation gives 2214 meV/atom. Its formation energy is 2.48 eV/atom.

```
TbGd2
1.0
0.0000 6.2784 6.2784
6.2784 0.0000 6.2784
6.2784 6.2784 0.0000
Tb Gd
2 4
Direct
0.1250 0.1250 0.1250
0.8750 0.8750 0.8750
0.0000 0.0000 0.0000
0.0000 0.0000 0.5000
0.0000 0.5000 0.0000
0.5000 0.0000 0.0000
```

=====

[13]
Crystalline SmZnRe at its relaxed geometry. Source: OQMD via LeMat-Bulk, functional PBE.

## Properties
As for the space group: F-43m, No. 216. The value obtained for the total moment is 3.1 μB per cell. For the relative energy among the computed polymorphs, the calculation gives 0 meV/atom. Its formation energy is 0.69 eV/atom.

```
SmZnRe
1.0
6.3688 0.0000 0.0000
0.0000 6.3688 0.0000
0.0000 0.0000 6.3688
Sm Zn Re
4 4 4
Direct
0.0000 0.0000 0.0000
0.0000 0.5000 0.5000
0.5000 0.0000 0.5000
0.5000 0.5000 0.0000
0.2500 0.2500 0.7500
0.2500 0.7500 0.2500
0.7500 0.2500 0.2500
0.7500 0.7500 0.7500
0.0000 0.0000 0.5000
0.0000 0.5000 0.0000
0.5000 0.0000 0.0000
0.5000 0.5000 0.5000
```

=====

[14]
Crystalline KBAu at its relaxed geometry. Source: OQMD via LeMat-Bulk, functional PBE.

## Properties
As for the space group: F-43m, No. 216. For the relative energy among the computed polymorphs, the calculation gives 531 meV/atom.

```
KBAu
1.0
7.0663 0.0000 0.0000
0.0000 7.0663 0.0000
0.0000 0.0000 7.0663
K B Au
4 4 4
Direct
0.0000 0.0000 0.0000
0.0000 0.5000 0.5000
0.5000 0.0000 0.5000
0.5000 0.5000 0.0000
0.2500 0.2500 0.2500
0.2500 0.7500 0.7500
0.7500 0.2500 0.7500
0.7500 0.7500 0.2500
0.2500 0.2500 0.7500
0.2500 0.7500 0.2500
0.7500 0.2500 0.2500
0.7500 0.7500 0.7500
```

=====

[15]
Crystalline TbSbIr at its relaxed geometry. Source: OQMD via LeMat-Bulk, functional PBE.

## Properties
As for the space group: P-62m, No. 189. The value obtained for the total moment is 0.0 μB per cell.

```
TbSbIr
1.0
8.2408 0.0000 0.0000
-4.1204 7.1367 0.0000
0.0000 0.0000 3.2717
Tb Sb Ir
3 3 3
Direct
0.0000 0.3000 0.0000
0.3000 0.0000 0.0000
0.7000 0.7000 0.0000
0.0000 0.0000 0.5000
0.3333 0.6667 0.0000
0.6667 0.3333 0.0000
0.0000 0.6474 0.5000
0.3526 0.3526 0.5000
0.6474 0.0000 0.5000
```

=====

[16]
Crystalline CuGePdW at its relaxed geometry. Source: OQMD via LeMat-Bulk, functional PBE.

## Properties
As for the space group: F-43m, No. 216. The value obtained for the total moment is 5.4 μB per cell. For the relative energy among the computed polymorphs, the calculation gives 238 meV/atom.

```
CuGePdW
1.0
6.2311 0.0000 0.0000
0.0000 6.2311 0.0000
0.0000 0.0000 6.2311
Cu Ge Pd W
4 4 4 4
Direct
0.0000 0.0000 0.0000
0.0000 0.5000 0.5000
0.5000 0.0000 0.5000
0.5000 0.5000 0.0000
0.2500 0.2500 0.7500
0.2500 0.7500 0.2500
0.7500 0.2500 0.2500
0.7500 0.7500 0.7500
0.0000 0.0000 0.5000
0.0000 0.5000 0.0000
0.5000 0.0000 0.0000
0.5000 0.5000 0.5000
0.2500 0.2500 0.2500
0.2500 0.7500 0.7500
0.7500 0.2500 0.7500
0.7500 0.7500 0.2500
```

=====

[17]
Crystalline Dy2HoMg3Al2In at its relaxed geometry. Source: OQMD via LeMat-Bulk, functional PBE.

## Properties
As for the space group: Amm2, No. 38. The value obtained for the total moment is 0.0 μB per cell.

```
Dy2HoMg3Al2In
1.0
4.5955 0.0000 0.0000
0.0000 6.3880 3.6947
0.0000 -6.3880 3.6947
Dy Ho Mg Al In
2 1 3 2 1
Direct
0.0000 0.2189 0.7811
0.0000 0.7811 0.2189
0.0000 0.3434 0.3434
0.5000 0.0271 0.0271
0.5000 0.5348 0.7810
0.5000 0.7810 0.5348
0.5000 0.1148 0.4474
0.5000 0.4474 0.1148
0.0000 0.7802 0.7802
```

=====

[18]
Crystalline RbPPdO at its relaxed geometry. Source: OQMD via LeMat-Bulk, functional PBE.

## Properties
As for the space group: P4/nmm, No. 129. For the relative energy among the computed polymorphs, the calculation gives 259 meV/atom.

```
RbPPdO
1.0
4.0974 0.0000 0.0000
0.0000 4.0974 0.0000
0.0000 0.0000 11.0816
Rb P Pd O
2 2 2 2
Direct
0.2500 0.2500 0.1594
0.7500 0.7500 0.8406
0.2500 0.2500 0.6088
0.7500 0.7500 0.3912
0.2500 0.7500 0.5000
0.7500 0.2500 0.5000
0.2500 0.7500 0.0000
0.7500 0.2500 0.0000
```

=====

[19]
Crystalline ZrCdNO at its relaxed geometry. Source: OQMD via LeMat-Bulk, functional PBE.

## Properties
As for the space group: Pca2_1, No. 29. The value obtained for the total moment is 0.0 μB per cell. For the relative energy among the computed polymorphs, the calculation gives 263 meV/atom.

```
ZrCdNO
1.0
6.2280 0.0000 0.0000
0.0000 6.9816 0.0000
0.0000 0.0000 6.0377
Zr Cd N O
4 4 4 4
Direct
0.0884 0.1033 0.0000
0.4116 0.1033 0.5000
0.5884 0.8967 0.0000
0.9116 0.8967 0.5000
0.1296 0.6084 0.9445
0.3704 0.6084 0.4445
0.6296 0.3916 0.9445
0.8704 0.3916 0.4445
0.0382 0.6473 0.5874
0.4618 0.6473 0.0874
0.5382 0.3527 0.5874
0.9618 0.3527 0.0874
0.1040 0.1141 0.6540
0.3960 0.1141 0.1540
0.6040 0.8859 0.6540
0.8960 0.8859 0.1540
```

=====

[20]
Crystalline GdDyZr2Sb2 at its relaxed geometry. Source: OQMD via LeMat-Bulk, functional PBE.

## Properties
As for the space group: I4mm, No. 107. The value obtained for the total moment is 0.0 μB per cell.

```
GdDyZr2Sb2
1.0
4.2798 0.0000 0.0000
0.0000 4.2798 0.0000
0.0000 0.0000 16.7052
Gd Dy Zr Sb
2 2 4 4
Direct
0.0000 0.0000 0.0000
0.5000 0.5000 0.5000
0.0000 0.0000 0.3543
0.5000 0.5000 0.8543
0.0000 0.5000 0.1778
0.0000 0.5000 0.6778
0.5000 0.0000 0.1778
0.5000 0.0000 0.6778
0.0000 0.0000 0.5451
0.0000 0.0000 0.8102
0.5000 0.5000 0.0451
0.5000 0.5000 0.3102
```

=====

[21]
Crystalline CoTcPtPb at its relaxed geometry. Source: OQMD via LeMat-Bulk, functional PBE.

## Properties
As for the space group: F-43m, No. 216. The value obtained for the total moment is 7.1 μB per cell. For the relative energy among the computed polymorphs, the calculation gives 0 meV/atom.

```
CoTcPtPb
1.0
6.3533 0.0000 0.0000
0.0000 6.3533 0.0000
0.0000 0.0000 6.3533
Co Tc Pt Pb
4 4 4 4
Direct
0.0000 0.0000 0.0000
0.0000 0.5000 0.5000
0.5000 0.0000 0.5000
0.5000 0.5000 0.0000
0.0000 0.0000 0.5000
0.0000 0.5000 0.0000
0.5000 0.0000 0.0000
0.5000 0.5000 0.5000
0.2500 0.2500 0.2500
0.2500 0.7500 0.7500
0.7500 0.2500 0.7500
0.7500 0.7500 0.2500
0.2500 0.2500 0.7500
0.2500 0.7500 0.2500
0.7500 0.2500 0.2500
0.7500 0.7500 0.7500
```

=====

[22]
Crystalline TlCdSi at its relaxed geometry. Source: OQMD via LeMat-Bulk, functional PBE.

## Properties
As for the space group: P-62m, No. 189. For the relative energy among the computed polymorphs, the calculation gives 54 meV/atom.

```
TlCdSi
1.0
7.8112 0.0000 0.0000
-3.9056 6.7647 0.0000
0.0000 0.0000 4.0782
Tl Cd Si
3 3 3
Direct
0.0000 0.2680 0.0000
0.2680 0.0000 0.0000
0.7320 0.7320 0.0000
0.0000 0.5982 0.5000
0.4018 0.4018 0.5000
0.5982 0.0000 0.5000
0.0000 0.0000 0.5000
0.3333 0.6667 0.0000
0.6667 0.3333 0.0000
```

=====

[23]
Crystalline NaAgGeSeS2 at its relaxed geometry. Source: OQMD via LeMat-Bulk, functional PBE.

## Properties
As for the space group: Cmcm, No. 63.

```
NaAgGeSeS2
1.0
1.7469 -7.2014 0.0000
1.7469 7.2014 0.0000
0.0000 0.0000 10.3678
Na Ag Ge Se S
2 2 2 2 4
Direct
0.2113 0.7887 0.7500
0.7887 0.2113 0.2500
0.1127 0.8873 0.2500
0.8873 0.1127 0.7500
0.5000 0.5000 0.0000
0.5000 0.5000 0.5000
0.4526 0.5474 0.2500
0.5474 0.4526 0.7500
0.1222 0.8778 0.0204
0.1222 0.8778 0.4796
0.8778 0.1222 0.5204
0.8778 0.1222 0.9796
```

=====

[24]
Crystalline PrSiO4 at its relaxed geometry. Source: OQMD via LeMat-Bulk, functional PBE.

## Properties
As for the space group: I4_1/amd, No. 141. The value obtained for the total moment is 2.0 μB per cell.

```
PrSiO4
1.0
-3.5793 3.5793 3.2078
3.5793 -3.5793 3.2078
3.5793 3.5793 -3.2078
Pr Si O
2 2 8
Direct
0.3750 0.6250 0.7500
0.6250 0.3750 0.2500
0.1250 0.8750 0.2500
0.8750 0.1250 0.7500
0.1410 0.7142 0.4268
0.2126 0.2858 0.9268
0.2858 0.2126 0.4268
0.2858 0.8590 0.0732
0.7142 0.1410 0.9268
0.7142 0.7874 0.5732
0.7874 0.7142 0.0732
0.8590 0.2858 0.5732
```

=====

[25]
Crystalline RbCuTe3Pd at its relaxed geometry. Source: OQMD via LeMat-Bulk, functional PBE.

## Properties
As for the space group: Cmcm, No. 63. For the relative energy among the computed polymorphs, the calculation gives 0 meV/atom.

```
RbCuTe3Pd
1.0
2.0369 -7.8755 0.0000
2.0369 7.8755 0.0000
0.0000 0.0000 10.9863
Rb Cu Te Pd
2 2 6 2
Direct
0.2434 0.7566 0.7500
0.7566 0.2434 0.2500
0.4540 0.5460 0.2500
0.5460 0.4540 0.7500
0.0557 0.9443 0.2500
0.3879 0.6121 0.0330
0.3879 0.6121 0.4670
0.6121 0.3879 0.5330
0.6121 0.3879 0.9670
0.9443 0.0557 0.7500
0.0000 0.0000 0.0000
0.0000 0.0000 0.5000
```

=====

| no. | E (hartree per atom) |
| --- | --- |
| 1 | -0.2395 |
| 2 | -0.1913 |
| 3 | -0.2256 |
| 4 | -0.0965 |
| 5 | -0.1669 |
| 6 | -0.2221 |
| 7 | -0.2181 |
| 8 | -0.2277 |
| 9 | -0.2124 |
| 10 | -0.1412 |
| 11 | -0.1358 |
| 12 | -0.0796 |
| 13 | -0.2002 |
| 14 | -0.0730 |
| 15 | -0.2246 |
| 16 | -0.2253 |
| 17 | -0.1294 |
| 18 | -0.1585 |
| 19 | -0.2486 |
| 20 | -0.2417 |
| 21 | -0.2343 |
| 22 | -0.0914 |
| 23 | -0.1361 |
| 24 | -0.2841 |
| 25 | -0.1321 |